# 1
Al6V2Tc: relaxed, GGA-PBE.

Cell and atoms, written as POSCAR:
```
Al6V2Tc
1.0
-1.228 2.668 1.852
0.328 -3.466 5.209
5.886 3.819 -1.598
Al V Tc
6 2 1
direct
0.000 0.442 0.310
0.000 0.132 0.690
0.000 0.558 0.690
0.500 0.295 0.000
0.000 0.868 0.310
0.500 0.705 0.000
0.500 0.781 0.561
0.500 0.219 0.439
0.000 0.000 0.000
```

E_form, eV/atom: -0.0638
Volume, Å³/cell: 140.9
Crystal system: orthorhombic
Space group: No. 65



# 2
Li3TmCd4: relaxed, GGA-PBE.

Cell and atoms, written as POSCAR:
```
Li3TmCd4
1.0
3.421 0.000 0.000
0.000 3.421 0.000
0.000 0.000 13.744
Cd Tm Li
4 1 3
direct
0.000 0.000 0.847
0.000 0.000 0.153
0.000 0.000 0.385
0.000 0.000 0.615
0.500 0.500 0.000
0.500 0.500 0.268
0.500 0.500 0.500
0.500 0.500 0.732
```

E_form, eV/atom: -0.2636
Volume, Å³/cell: 160.8
Crystal system: tetragonal
Space group: No. 123



# 3
Cs3Te2H: relaxed, GGA-PBE.

Cell and atoms, written as POSCAR:
```
Cs3Te2H
1.0
4.346 0.000 0.000
0.000 16.243 0.000
0.000 0.000 15.486
Cs Te H
12 8 4
direct
0.250 0.382 0.042
0.750 0.618 0.958
0.750 0.882 0.458
0.250 0.118 0.542
0.250 0.699 0.226
0.750 0.301 0.774
0.750 0.199 0.274
0.250 0.801 0.726
0.250 0.469 0.374
0.750 0.531 0.626
0.750 0.969 0.126
0.250 0.031 0.874
0.250 0.685 0.491
0.750 0.315 0.509
0.750 0.185 0.009
0.250 0.815 0.991
0.250 0.017 0.317
0.750 0.983 0.683
0.750 0.517 0.183
0.250 0.483 0.817
0.250 0.185 0.008
0.750 0.815 0.992
0.750 0.685 0.492
0.250 0.315 0.508
```

Volume, Å³/cell: 1093.1
Crystal system: orthorhombic
E_tot, eV/atom: -2.705
Space group: No. 62



# 4
KNi3Bi: relaxed, GGA-PBE.

Cell and atoms, written as POSCAR:
```
KNi3Bi
1.0
-4.249 -1.779 0.575
1.405 -2.098 3.895
-1.233 3.739 2.459
Ni K Bi
3 1 1
direct
0.000 0.500 0.000
0.000 0.000 0.500
0.500 0.000 0.000
0.000 0.000 0.000
0.500 0.500 0.500
```

E_form, eV/atom: 1.6980
Volume, Å³/cell: 100.0
Crystal system: cubic
Excess energy over the best structure of this formula in the dataset, eV/f.u.: 4.62
Space group: No. 221



# 5
Zr4Ga6Co7: relaxed, GGA-PBE.

Cell and atoms, written as POSCAR:
```
Zr4Ga6Co7
1.0
6.473 0.000 -2.288
-3.236 5.606 -2.288
0.000 0.000 6.865
Zr Ga Co
4 6 7
direct
0.500 0.000 0.000
0.500 0.500 0.500
0.000 0.500 0.000
0.000 0.000 0.500
0.685 0.000 0.685
0.685 0.685 0.000
0.000 0.315 0.315
0.315 0.000 0.315
0.315 0.315 0.000
0.000 0.685 0.685
0.750 0.500 0.250
0.250 0.750 0.500
0.500 0.750 0.250
0.750 0.250 0.500
0.250 0.500 0.750
0.500 0.250 0.750
0.000 0.000 0.000
```

E_form, eV/atom: -0.4244
Volume, Å³/cell: 249.1
Crystal system: cubic
Space group: No. 229



# 6
ZnPbCl2: relaxed, GGA-PBE.

Cell and atoms, written as POSCAR:
```
ZnPbCl2
1.0
3.664 0.000 0.000
0.000 3.662 0.000
0.000 0.000 9.229
Pb Zn Cl
1 1 2
direct
0.500 0.500 0.250
0.500 0.500 0.750
0.000 0.000 0.072
0.000 0.000 0.428
```

Volume, Å³/cell: 123.8
Crystal system: tetragonal
E_form (uncorrected), eV per atom: -0.50
Excess energy over the best structure of this formula in the dataset, eV/f.u.: 0.68
Space group: No. 123



# 7
NdPuAlAu: relaxed, GGA-PBE.

Cell and atoms, written as POSCAR:
```
NdPuAlAu
1.0
5.227 0.000 0.000
2.613 4.527 0.000
2.613 1.509 4.268
Nd Au Al Pu
1 1 1 1
direct
0.250 0.250 0.250
0.500 0.500 0.500
0.000 0.000 0.000
0.750 0.750 0.750
```

E_form, eV/atom: -0.3009
Volume, Å³/cell: 101.0
Crystal system: cubic
Space group: No. 216



# 8
Pm2DyTm9: relaxed, GGA-PBE.

Cell and atoms, written as POSCAR:
```
Pm2DyTm9
1.0
-3.145 -0.823 1.228
-0.951 -7.928 -7.749
4.491 -2.401 9.893
Pm Dy Tm
2 1 9
direct
0.000 0.333 0.667
0.000 0.667 0.333
0.000 0.000 0.000
0.000 0.000 0.500
0.000 0.500 0.500
0.000 0.500 0.000
0.500 0.350 0.175
0.500 0.175 0.825
0.500 0.175 0.350
0.500 0.825 0.650
0.500 0.825 0.175
0.500 0.650 0.825
```

E_form, eV/atom: 0.0705
Volume, Å³/cell: 372.6
Crystal system: hexagonal
Excess energy over the best structure of this formula in the dataset, eV/f.u.: 0.00
Space group: No. 191



no.,Fermi-level density of states (states/eV per cell)
1,6.2
2,3.3
3,4.1
4,5.3
5,13.9
6,0.3
7,11.1
8,20.0